(1)
12
Lattice="2.411 1.392 8.005 -2.411 1.392 8.005 0.000 -2.784 8.005" Properties=species:S:1:pos:R:3 comment="KNbP2O8, relaxed, DFT PBE-GGA" volume_a3_per_cell=161.1 sg="R-3, No. 148" pbc="T T T"
K 0.000 0.000 0.000
Nb 0.000 0.000 12.007
P 0.000 0.000 5.799
P 0.000 0.000 18.216
O -0.975 -1.268 10.828
O -1.586 0.211 13.187
O 0.000 0.000 7.282
O 0.611 -1.479 13.187
O -0.611 1.479 10.828
O 0.000 0.000 16.733
O 1.586 -0.211 10.828
O 0.975 1.268 13.187

(2)
8
Lattice="3.816 0.000 0.000 0.000 7.957 0.000 0.000 0.000 6.331" Properties=species:S:1:pos:R:3 comment="KNbPO, relaxed, DFT PBE-GGA" volume_a3_per_cell=192.2 sg="Pmc2_1, No. 26" de_polymorph_mev_per_atom=0 pbc="T T T"
K 0.000 1.374 0.000
K 0.000 6.583 3.165
Nb 1.908 3.210 3.668
Nb 1.908 4.747 0.502
P 0.000 1.855 3.098
P 0.000 6.102 6.264
O 1.908 3.175 5.643
O 1.908 4.782 2.478

(3)
12
Lattice="4.870 0.000 0.000 -2.435 4.217 0.000 0.000 0.000 8.083" Properties=species:S:1:pos:R:3 comment="KNbP2O8, relaxed, DFT PBE-GGA" volume_a3_per_cell=166.0 sg="P-3, No. 147" pbc="T T T"
K 0.000 0.000 0.000
Nb 0.000 0.000 4.042
P 0.000 2.812 5.854
P 2.435 1.406 2.229
O -1.430 2.983 5.233
O 0.567 1.487 5.233
O 0.000 2.812 7.339
O 1.571 0.253 2.850
O 0.863 3.964 5.233
O 2.435 1.406 0.744
O 1.868 2.730 2.850
O 3.865 1.234 2.850

(4)
8
Lattice="3.524 0.000 0.000 0.000 7.056 0.000 0.000 0.000 7.323" Properties=species:S:1:pos:R:3 comment="KNbPO, relaxed, DFT PBE-GGA" volume_a3_per_cell=182.1 sg="Pmc2_1, No. 26" de_polymorph_mev_per_atom=75 pbc="T T T"
K 0.000 1.532 0.000
K 0.000 5.523 3.662
Nb 1.762 2.076 3.333
Nb 1.762 4.980 6.994
P 1.762 3.363 5.315
P 1.762 3.693 1.653
O 0.000 1.130 3.108
O 0.000 5.926 6.769

(5)
48
Lattice="5.114 0.000 0.000 0.000 11.709 0.000 -5.017 0.000 11.534" Properties=species:S:1:pos:R:3 comment="KNbP2O8, relaxed, DFT PBE-GGA" volume_a3_per_cell=690.6 sg="P2_1/c, No. 14" pbc="T T T"
K -1.368 1.578 5.128
K -3.877 4.277 10.895
K 3.974 7.433 0.639
K 1.465 10.131 6.406
Nb 1.242 1.432 1.998
Nb -1.266 4.423 7.765
Nb 1.363 7.287 3.769
Nb -1.145 10.277 9.535
P -3.741 0.744 9.944
P -1.232 5.111 4.177
P -3.700 8.077 9.855
P -1.192 9.486 4.089
P 1.288 2.223 7.445
P 3.797 3.632 1.678
P 1.329 6.598 7.357
P 3.838 10.966 1.590
O -0.337 2.493 1.302
O -2.846 3.361 7.069
O -3.570 2.066 9.048
O -1.061 3.789 3.281
O -3.927 6.813 10.594
O -1.419 10.750 4.827
O -2.329 6.145 7.542
O 0.180 11.419 1.775
O -0.306 6.173 3.556
O -2.814 11.391 9.323
O -3.387 1.185 11.325
O -0.878 4.669 5.558
O -2.260 8.612 9.943
O 0.249 8.952 4.176
O 1.587 7.577 2.050
O -0.922 9.987 7.817
O 1.018 1.723 3.717
O -1.490 4.132 9.483
O -0.152 2.757 7.358
O 2.356 3.098 1.591
O 0.975 7.040 5.975
O 3.484 10.524 0.208
O 2.911 0.318 2.211
O 0.403 5.536 7.978
O -0.083 0.290 9.759
O 2.426 5.564 3.992
O 1.516 0.959 6.707
O 4.024 4.896 0.940
O 1.158 7.920 8.252
O 3.667 9.644 2.486
O 2.943 8.348 4.465
O 0.434 9.216 10.232

(6)
60
Lattice="5.223 0.000 0.000 0.000 17.365 0.000 -0.085 0.000 9.651" Properties=species:S:1:pos:R:3 comment="K3NbP2O9, relaxed, DFT PBE-GGA" volume_a3_per_cell=875.4 sg="P2_1/c, No. 14" pbc="T T T"
K 1.259 2.354 0.689
K 1.217 6.328 5.514
K 1.273 1.233 4.466
K 1.231 7.449 9.291
K 1.325 12.243 0.364
K 1.282 13.805 5.190
K 3.856 3.560 4.462
K 3.813 5.123 9.287
K 3.907 9.916 0.360
K 3.865 16.132 5.186
K 3.921 11.037 4.137
K 3.879 15.011 8.963
Nb 1.164 10.243 6.627
Nb 1.206 15.805 1.801
Nb 3.932 1.560 7.851
Nb 3.975 7.122 3.025
P 1.266 3.741 7.347
P 1.308 4.941 2.521
P 1.362 9.391 3.151
P 1.320 16.657 7.977
P 3.818 0.709 1.675
P 3.776 7.974 6.500
P 3.830 12.424 7.130
P 3.873 13.624 2.305
O -0.064 3.184 8.009
O -0.022 5.498 3.183
O 0.303 0.443 8.315
O 0.346 8.240 3.489
O 1.145 9.900 1.746
O 1.103 16.148 6.572
O 1.115 10.078 8.399
O 1.157 15.970 3.573
O 1.244 3.536 5.845
O 1.287 5.146 1.019
O 1.269 10.448 4.271
O 1.227 15.599 9.097
O 1.506 3.510 2.975
O 1.463 5.173 7.801
O 2.397 0.047 1.536
O 2.354 8.636 6.362
O 2.399 2.844 8.012
O 2.441 5.839 3.186
O 2.697 11.527 6.465
O 2.739 14.521 1.640
O 2.784 8.729 3.290
O 2.742 17.318 8.116
O 3.675 12.193 1.851
O 3.632 13.855 6.676
O 3.911 1.766 0.555
O 3.869 6.917 5.381
O 3.851 12.219 8.632
O 3.894 13.829 3.806
O 3.981 1.395 6.079
O 4.023 7.287 1.253
O 4.035 1.217 3.080
O 3.993 7.466 7.905
O 4.792 9.125 6.162
O 4.835 16.923 1.337
O 5.160 11.867 6.469
O 5.202 14.181 1.643

(7)
51
Lattice="10.587 0.000 0.000 0.000 10.587 0.000 0.000 0.000 6.426" Properties=species:S:1:pos:R:3 comment="K4Nb8SiP4O34, relaxed, DFT PBE-GGA" volume_a3_per_cell=720.2 sg="P-4m2, No. 115" pbc="T T T"
K 0.000 0.000 0.000
K 0.000 5.293 1.267
K 5.293 0.000 5.159
K 5.293 5.293 0.000
Nb 0.000 3.325 4.470
Nb 0.000 7.262 4.470
Nb 3.325 0.000 1.956
Nb 3.423 3.423 3.213
Nb 3.423 7.164 3.213
Nb 7.164 3.423 3.213
Nb 7.164 7.164 3.213
Nb 7.262 0.000 1.956
Si 0.000 0.000 3.213
P 2.771 2.771 0.000
P 2.771 7.816 0.000
P 7.816 2.771 0.000
P 7.816 7.816 0.000
O 0.000 1.329 4.180
O 0.000 5.293 4.840
O 0.000 9.258 4.180
O 1.294 3.032 6.119
O 1.294 7.555 6.119
O 1.329 0.000 2.246
O 1.442 3.488 3.250
O 1.442 7.099 3.250
O 3.032 1.294 0.307
O 3.032 9.293 0.307
O 3.190 3.668 1.191
O 3.190 6.919 1.191
O 3.478 5.293 3.623
O 3.488 1.442 3.176
O 3.488 9.145 3.176
O 3.668 3.190 5.235
O 3.668 7.397 5.235
O 5.293 0.000 1.586
O 5.293 3.478 2.803
O 5.293 7.109 2.803
O 6.919 3.190 5.235
O 6.919 7.397 5.235
O 7.099 1.442 3.176
O 7.099 9.145 3.176
O 7.109 5.293 3.623
O 7.397 3.668 1.191
O 7.397 6.919 1.191
O 7.555 1.294 0.307
O 7.555 9.293 0.307
O 9.145 3.488 3.250
O 9.145 7.099 3.250
O 9.258 0.000 2.246
O 9.293 3.032 6.119
O 9.293 7.555 6.119

(8)
11
Lattice="4.926 -3.316 0.000 4.926 3.316 0.000 -1.044 0.000 7.683" Properties=species:S:1:pos:R:3 comment="K3RbNb2O5, relaxed, DFT PBE-GGA" volume_a3_per_cell=251.0 sg="Cm, No. 8" pbc="T T T"
K 0.000 0.000 0.000
K 2.207 0.000 6.705
K 5.557 0.000 5.512
Rb 2.768 0.000 2.889
Nb 6.891 0.000 1.415
Nb 8.756 0.000 4.275
O 3.541 1.788 5.261
O 6.694 1.520 0.404
O 3.541 -1.788 5.261
O 8.606 0.000 2.338
O 6.694 -1.520 0.404

Uncorrected energy / eV per atom: -7.4653; -6.5018; -7.4738; -6.4268; -7.4813; -6.9417; -7.9758; -6.1848